Entry from Alexandria via LeMat-Bulk: crystalline Cu2TeSe at its relaxed geometry (GGA-PBE).

Unit cell a=4.8702 b=4.8702 c=4.8702 alpha=125.36 beta=125.36 gamma=80.94
Positions (direct):
Cu  0.0000  0.0000  0.0000
Cu  0.5000  0.5000  0.0000
Se  0.2500  0.7500  0.5000
Te  0.7500  0.2500  0.5000

Results
raw total energy: -3.32 eV per atom
distance to the lowest polymorph of the same formula: 466 meV/atom
formation energy without anion corrections: 383.6 meV/atom

***

Entry from Alexandria via LeMat-Bulk: crystalline SmDy2Zn6 at its relaxed geometry (GGA-PBE).

Unit cell a=3.5256 b=7.7906 c=7.7909 alpha=120.00 beta=90.01 gamma=90.00
Positions (direct):
Sm  0.0000  0.0000  0.0000
Dy  0.0000  0.3334  0.6669
Dy  0.0000  0.6666  0.3331
Zn  0.5004  0.3352  0.3353
Zn  0.4996  0.6648  0.6647
Zn  0.4996  0.9999  0.6647
Zn  0.5000  0.6648  0.0000
Zn  0.5000  0.3352  0.0000
Zn  0.5004  0.0001  0.3353

Results
raw total energy: -2.77 eV per atom
formation energy: -374 meV/atom

***

Entry from Alexandria via LeMat-Bulk: crystalline PrHo3Tl4 at its relaxed geometry (GGA-PBE).

Unit cell a=5.4196 b=7.5944 c=10.8436 alpha=90.00 beta=90.00 gamma=90.00
Positions (direct):
Pr  0.0000  0.5000  0.0000
Pr  0.0000  0.5000  0.5000
Tl  0.5000  0.7582  0.0000
Tl  0.5000  0.7582  0.5000
Tl  0.5000  0.2418  0.0000
Tl  0.5000  0.2418  0.5000
Tl  0.0015  0.7582  0.7500
Tl  0.9985  0.7582  0.2500
Tl  0.9985  0.2418  0.2500
Tl  0.0015  0.2418  0.7500
Ho  0.0000  0.0000  0.0000
Ho  0.0000  0.0000  0.5000
Ho  0.5015  0.0000  0.7500
Ho  0.4985  0.0000  0.2500
Ho  0.5011  0.5000  0.7500
Ho  0.4989  0.5000  0.2500

Results
raw total energy: -3.84 eV per atom
distance to the lowest polymorph of the same formula: 0 meV/atom
formation energy: -340 meV/atom

***

Entry from Alexandria via LeMat-Bulk: crystalline Ac2MgSnS6 at its relaxed geometry (GGA-PBE).

Unit cell a=6.7561 b=7.3581 c=9.7411 alpha=90.00 beta=89.89 gamma=90.00
Positions (direct):
Ac  0.0320  0.9051  0.2491
Ac  0.5320  0.5949  0.7491
Ac  0.9680  0.0949  0.7509
Ac  0.4680  0.4051  0.2509
Mg  0.5000  0.0000  0.0000
Mg  0.0000  0.5000  0.5000
Sn  0.5000  0.0000  0.5000
Sn  0.0000  0.5000  0.0000
S  0.3132  0.6851  0.0516
S  0.8132  0.8149  0.5516
S  0.6868  0.3149  0.9484
S  0.1868  0.1851  0.4484
S  0.3141  0.6906  0.4495
S  0.8141  0.8094  0.9495
S  0.6859  0.3094  0.5505
S  0.1859  0.1906  0.0505
S  0.8921  0.5198  0.2503
S  0.3921  0.9802  0.7503
S  0.1079  0.4802  0.7497
S  0.6079  0.0198  0.2497

Results
raw total energy: -5.35 eV per atom
formation energy without anion corrections: -1493.5 meV/atom

***

Entry from Alexandria via LeMat-Bulk: crystalline SiSbAs at its relaxed geometry (GGA-PBE).

Unit cell a=5.9954 b=5.9954 c=5.9954 alpha=147.02 beta=147.00 gamma=47.36
Positions (direct):
As  0.0429  0.0429  0.0000
Sb  0.3144  0.3144  0.0000
Si  0.6427  0.6427  0.0000

Results
raw total energy: -4.38 eV per atom
distance to the lowest polymorph of the same formula: 170 meV/atom
formation energy without anion corrections: 356.4 meV/atom

***

Entry from Alexandria via LeMat-Bulk: crystalline Ba3YH at its relaxed geometry (GGA-PBE).

Unit cell a=5.8158 b=5.8158 c=5.8158 alpha=90.00 beta=90.00 gamma=90.00
Positions (direct):
Y  0.5000  0.5000  0.5000
H  0.0000  0.0000  0.0000
Ba  0.0000  0.5000  0.0000
Ba  0.0000  0.0000  0.5000
Ba  0.5000  0.0000  0.0000

Results
raw total energy: -3.10 eV per atom
distance to the lowest polymorph of the same formula: 0 meV/atom

***

Entry from Alexandria via LeMat-Bulk: crystalline YAgIr at its relaxed geometry (GGA-PBE).

Unit cell a=3.4049 b=3.4049 c=6.4345 alpha=90.00 beta=90.00 gamma=120.00
Positions (direct):
Ag  0.0000  0.0000  0.0195
Ir  0.6667  0.3333  0.3417
Y  0.3333  0.6667  0.6389

Results
raw total energy: -5.93 eV per atom
distance to the lowest polymorph of the same formula: 387 meV/atom
formation energy: 130 meV/atom

***

Entry from Alexandria via LeMat-Bulk: crystalline Sc4Al2InPd at its relaxed geometry (GGA-PBE).

Unit cell a=4.8377 b=4.8377 c=8.3774 alpha=73.22 beta=73.22 gamma=60.00
Positions (direct):
Sc  0.3804  0.3804  0.8588
Sc  0.8712  0.8712  0.3865
Sc  0.1288  0.1288  0.6135
Sc  0.6196  0.6196  0.1412
Al  0.7491  0.7491  0.7528
Al  0.2509  0.2509  0.2472
In  0.0000  0.0000  0.0000
Pd  0.5000  0.5000  0.5000

Results
raw total energy: -5.61 eV per atom
formation energy: -518 meV/atom

***

Entry from Alexandria via LeMat-Bulk: crystalline CrAgN2 at its relaxed geometry (GGA-PBE).

Unit cell a=6.6860 b=6.6860 c=6.6860 alpha=24.16 beta=24.16 gamma=24.16
Each line ends with the local moment (μB).
Positions (direct):
Cr  0.5000  0.5000  0.5000  0.37
Ag  0.0000  0.0000  0.0000  0.00
N  0.8905  0.8905  0.8905  -0.03
N  0.1095  0.1095  0.1095  -0.03

Results
raw total energy: -7.06 eV per atom
distance to the lowest polymorph of the same formula: 130 meV/atom
formation energy without anion corrections: 221.7 meV/atom

***

Entry from Alexandria via LeMat-Bulk: crystalline CeRu2Pb at its relaxed geometry (GGA-PBE).

Unit cell a=3.4661 b=3.4661 c=6.5626 alpha=90.00 beta=90.00 gamma=90.00
Positions (direct):
Pb  0.5000  0.5000  0.5000
Ru  0.0000  0.0000  0.7617
Ru  0.0000  0.0000  0.2383
Ce  0.5000  0.5000  0.0000

Results
raw total energy: -7.01 eV per atom
distance to the lowest polymorph of the same formula: 205 meV/atom
formation energy: 41 meV/atom

***

Entry from Alexandria via LeMat-Bulk: crystalline Ce4NdEu at its relaxed geometry (GGA-PBE).

Unit cell a=6.4279 b=6.4279 c=6.4279 alpha=60.00 beta=60.00 gamma=60.00
Each line ends with the local moment (μB).
Positions (direct):
Eu  0.2500  0.2500  0.2500  -6.80
Nd  0.0000  0.0000  0.0000  0.09
Ce  0.6293  0.6293  0.1120  0.80
Ce  0.6293  0.1120  0.6293  0.80
Ce  0.6293  0.6293  0.6293  0.80
Ce  0.1120  0.6293  0.6293  0.80

Results
raw total energy: -6.22 eV per atom
formation energy: 243 meV/atom

***

Entry from Alexandria via LeMat-Bulk: crystalline K3Na8 at its relaxed geometry (GGA-PBE).

Unit cell a=8.5707 b=8.5707 c=8.5707 alpha=103.17 beta=103.17 gamma=103.17
Positions (direct):
K  0.5000  0.0000  0.5000
K  0.0000  0.5000  0.5000
K  0.5000  0.5000  0.0000
Na  0.0107  0.3116  0.0112
Na  0.3116  0.0112  0.0107
Na  0.0112  0.0107  0.3116
Na  0.3504  0.3504  0.3504
Na  0.6496  0.6496  0.6496
Na  0.9888  0.9893  0.6884
Na  0.6884  0.9888  0.9893
Na  0.9893  0.6884  0.9888

Results
raw total energy: -1.16 eV per atom
distance to the lowest polymorph of the same formula: 74 meV/atom
formation energy: 103 meV/atom